Pr4Sm3TmTe8 | GGA-PBE | optimized geometry

Results
E = -5.3122 eV/atom
Formation energy (no corrections) = -1382 meV/atom

CIF file:
```
data_Pr4Sm3TmTe8
_chemical_formula_sum 'Pr12 Sm9 Tm3 Te24'
_space_group_name_H-M_alt 'R -3 m'
_space_group_IT_number 166
_space_group_name_Hall '-R 3 2"'
_cell_length_a 8.8816
_cell_length_b 8.8816
_cell_length_c 22.2239
_cell_angle_alpha 90.00
_cell_angle_beta 90.00
_cell_angle_gamma 120.00
loop_
_atom_site_label
_atom_site_type_symbol
_atom_site_fract_x
_atom_site_fract_y
_atom_site_fract_z
Pr1 Pr 0.0000 0.0000 0.0000
Pr2 Pr 0.0000 0.5000 0.0000
Sm1 Sm 0.0000 0.5000 0.5000
Tm1 Tm 0.0000 0.0000 0.5000
Te1 Te 0.0000 0.0000 0.2476
Te2 Te 0.0062 0.5031 0.2461
```

=====

YSc2BiO | GGA-PBE | optimized geometry

Results
E = -6.9414 eV/atom
Formation energy (no corrections) = -1348 meV/atom

CIF file:
```
data_YSc2BiO
_chemical_formula_sum 'Y1 Sc2 Bi1 O1'
_space_group_name_H-M_alt 'P 4/m m m'
_space_group_IT_number 123
_space_group_name_Hall '-P 4 2'
_cell_length_a 4.458
_cell_length_b 4.458
_cell_length_c 5.046
_cell_angle_alpha 90.00
_cell_angle_beta 90.00
_cell_angle_gamma 90.00
loop_
_atom_site_label
_atom_site_type_symbol
_atom_site_fract_x
_atom_site_fract_y
_atom_site_fract_z
Y1 Y 0.000 0.000 0.000
Sc1 Sc 0.000 0.500 0.500
Bi1 Bi 0.500 0.500 0.000
O1 O 0.000 0.000 0.500
```

=====

Ti7SnBi2 | GGA-PBE | optimized geometry

Results
E = -6.2205 eV/atom
DFT formation energy = 482 meV per atom

CIF file:
```
data_Ti7SnBi2
_chemical_formula_sum 'Ti14 Sn2 Bi4'
_space_group_name_H-M_alt 'C m m m'
_space_group_IT_number 65
_space_group_name_Hall '-C 2 2'
_cell_length_a 7.570
_cell_length_b 14.072
_cell_length_c 4.612
_cell_angle_alpha 90.00
_cell_angle_beta 90.00
_cell_angle_gamma 90.00
loop_
_atom_site_label
_atom_site_type_symbol
_atom_site_fract_x
_atom_site_fract_y
_atom_site_fract_z
Ti1 Ti 0.000 0.000 0.000
Ti2 Ti 0.000 0.304 0.500
Ti3 Ti 0.167 0.397 0.000
Sn1 Sn 0.000 0.500 0.500
Bi1 Bi 0.000 0.198 0.000
```

=====

SrPb2Br | GGA-PBE | optimized geometry

Results
E = -3.2595 eV/atom
Formation energy (no corrections) = -567 meV/atom

CIF file:
```
data_SrPb2Br
_chemical_formula_sum 'Sr2 Pb4 Br2'
_space_group_name_H-M_alt 'I m m 2'
_space_group_IT_number 44
_space_group_name_Hall 'I 2 -2'
_cell_length_a 3.775
_cell_length_b 6.376
_cell_length_c 11.256
_cell_angle_alpha 90.00
_cell_angle_beta 90.00
_cell_angle_gamma 90.00
loop_
_atom_site_label
_atom_site_type_symbol
_atom_site_fract_x
_atom_site_fract_y
_atom_site_fract_z
Sr1 Sr 0.000 0.000 0.000
Pb1 Pb 0.000 0.000 0.487
Pb2 Pb 0.000 0.500 0.222
Br1 Br 0.000 0.500 0.713
```

=====

NaThSb2 | GGA-PBE | optimized geometry

Results
E = -4.7791 eV/atom
Formation energy (no corrections) = -533 meV/atom

CIF file:
```
data_NaThSb2
_chemical_formula_sum 'Na1 Th1 Sb2'
_space_group_name_H-M_alt 'P 4/m m m'
_space_group_IT_number 123
_space_group_name_Hall '-P 4 2'
_cell_length_a 4.096
_cell_length_b 4.096
_cell_length_c 6.948
_cell_angle_alpha 90.00
_cell_angle_beta 90.00
_cell_angle_gamma 90.00
loop_
_atom_site_label
_atom_site_type_symbol
_atom_site_fract_x
_atom_site_fract_y
_atom_site_fract_z
Na1 Na 0.000 0.000 0.000
Th1 Th 0.000 0.000 0.500
Sb1 Sb 0.500 0.500 0.267
```

=====

YMn2Os | GGA-PBE | optimized geometry

Results
E = -8.6898 eV/atom
DFT formation energy = 318 meV per atom

CIF file:
```
data_YMn2Os
_chemical_formula_sum 'Y2 Mn4 Os2'
_space_group_name_H-M_alt 'I m m 2'
_space_group_IT_number 44
_space_group_name_Hall 'I 2 -2'
_cell_length_a 3.178
_cell_length_b 4.557
_cell_length_c 9.460
_cell_angle_alpha 90.00
_cell_angle_beta 90.00
_cell_angle_gamma 90.00
loop_
_atom_site_label
_atom_site_type_symbol
_atom_site_fract_x
_atom_site_fract_y
_atom_site_fract_z
Y1 Y 0.000 0.000 0.000
Mn1 Mn 0.000 0.000 0.541
Mn2 Mn 0.000 0.500 0.776
Os1 Os 0.000 0.500 0.242
```

=====

NaCuNO2 | GGA-PBE | optimized geometry

Results
E = -4.4376 eV/atom
Formation energy (no corrections) = 294 meV/atom

CIF file:
```
data_NaCuNO2
_chemical_formula_sum 'Na1 Cu1 N1 O2'
_space_group_name_H-M_alt 'P 4/m m m'
_space_group_IT_number 123
_space_group_name_Hall '-P 4 2'
_cell_length_a 3.906
_cell_length_b 3.906
_cell_length_c 3.783
_cell_angle_alpha 90.00
_cell_angle_beta 90.00
_cell_angle_gamma 90.00
loop_
_atom_site_label
_atom_site_type_symbol
_atom_site_fract_x
_atom_site_fract_y
_atom_site_fract_z
Na1 Na 0.000 0.000 0.000
Cu1 Cu 0.500 0.500 0.500
N1 N 0.500 0.500 0.000
O1 O 0.000 0.500 0.500
```

=====

H5PtSe | GGA-PBE | optimized geometry

Results
E = -3.6339 eV/atom

CIF file:
```
data_H5PtSe
_chemical_formula_sum 'H10 Pt2 Se2'
_space_group_name_H-M_alt 'C 1 m 1'
_space_group_IT_number 8
_space_group_name_Hall 'C -2y'
_cell_length_a 10.864
_cell_length_b 6.835
_cell_length_c 2.644
_cell_angle_alpha 90.00
_cell_angle_beta 90.28
_cell_angle_gamma 90.00
loop_
_atom_site_label
_atom_site_type_symbol
_atom_site_fract_x
_atom_site_fract_y
_atom_site_fract_z
H1 H 0.000 0.000 0.000
H2 H 0.013 0.500 0.620
H3 H 0.168 0.167 0.501
H4 H 0.457 0.000 0.454
Pt1 Pt 0.163 0.000 0.001
Se1 Se 0.343 0.500 0.998
```

=====

DyGeBi2 | GGA-PBE | optimized geometry

Results
E = -4.5149 eV/atom
DFT formation energy = -270 meV per atom

CIF file:
```
data_DyGeBi2
_chemical_formula_sum 'Dy1 Ge1 Bi2'
_space_group_name_H-M_alt 'P 4/m m m'
_space_group_IT_number 123
_space_group_name_Hall '-P 4 2'
_cell_length_a 4.825
_cell_length_b 4.825
_cell_length_c 4.664
_cell_angle_alpha 90.00
_cell_angle_beta 90.00
_cell_angle_gamma 90.00
loop_
_atom_site_label
_atom_site_type_symbol
_atom_site_fract_x
_atom_site_fract_y
_atom_site_fract_z
Dy1 Dy 0.000 0.000 0.000
Ge1 Ge 0.500 0.500 0.000
Bi1 Bi 0.000 0.500 0.500
```

=====

TbPrScAg | GGA-PBE | optimized geometry

Results
E = -4.7509 eV/atom
DFT formation energy = -103 meV per atom

CIF file:
```
data_TbPrScAg
_chemical_formula_sum 'Tb1 Pr1 Sc1 Ag1'
_space_group_name_H-M_alt 'P 4 m m'
_space_group_IT_number 99
_space_group_name_Hall 'P 4 -2'
_cell_length_a 3.582
_cell_length_b 3.582
_cell_length_c 8.465
_cell_angle_alpha 90.00
_cell_angle_beta 90.00
_cell_angle_gamma 90.00
loop_
_atom_site_label
_atom_site_type_symbol
_atom_site_fract_x
_atom_site_fract_y
_atom_site_fract_z
Tb1 Tb 0.000 0.000 0.000
Pr1 Pr 0.500 0.500 0.310
Sc1 Sc 0.000 0.000 0.592
Ag1 Ag 0.500 0.500 0.773
```

=====

EuSbAu | GGA-PBE | optimized geometry

Results
E = -6.4152 eV/atom
Formation energy (no corrections) = -524 meV/atom

CIF file:
```
data_EuSbAu
_chemical_formula_sum 'Eu2 Sb2 Au2'
_space_group_name_H-M_alt 'I 4 m m'
_space_group_IT_number 107
_space_group_name_Hall 'I 4 -2'
_cell_length_a 4.228
_cell_length_b 4.228
_cell_length_c 9.105
_cell_angle_alpha 90.00
_cell_angle_beta 90.00
_cell_angle_gamma 90.00
loop_
_atom_site_label
_atom_site_type_symbol
_atom_site_fract_x
_atom_site_fract_y
_atom_site_fract_z
Eu1 Eu 0.000 0.000 0.000
Sb1 Sb 0.000 0.000 0.658
Au1 Au 0.000 0.000 0.344
```

=====

LuPuSn | GGA-PBE | optimized geometry

Results
E = -7.4036 eV/atom
DFT formation energy = 215 meV per atom

CIF file:
```
data_LuPuSn
_chemical_formula_sum 'Lu2 Pu2 Sn2'
_space_group_name_H-M_alt 'I 4 m m'
_space_group_IT_number 107
_space_group_name_Hall 'I 4 -2'
_cell_length_a 3.171
_cell_length_b 3.171
_cell_length_c 17.441
_cell_angle_alpha 90.00
_cell_angle_beta 90.00
_cell_angle_gamma 90.00
loop_
_atom_site_label
_atom_site_type_symbol
_atom_site_fract_x
_atom_site_fract_y
_atom_site_fract_z
Lu1 Lu 0.000 0.000 0.000
Pu1 Pu 0.000 0.000 0.817
Sn1 Sn 0.000 0.000 0.635
```